Mg2ZrMn (PBEsol, optimized geometry); Fermi-level density of states = 4.1 states/eV/f.u.; E = -21.1 eV for the cell shown; energy of formation from the pure elements = 111 kJ/mol of formula units
1.0
2.983 0.000 0.000
0.000 2.983 0.000
0.000 0.000 8.504
Mg Zr Mn
2 1 1
direct
0.000 0.000 0.220
0.000 0.000 0.780
0.500 0.500 0.500
0.500 0.500 0.000

***

MgI2O (PBEsol, optimized geometry); formation energy without anion corrections = 93.5 meV per atom; Fermi-level density of states = 4.9 states/eV/f.u.; E = -10.1 eV for the cell shown
1.0
0.000 3.567 3.567
3.567 0.000 3.567
3.567 3.567 0.000
Mg I O
1 2 1
direct
0.000 0.000 0.000
0.250 0.250 0.250
0.750 0.750 0.750
0.500 0.500 0.500